# HfRh2PbI, optimized geometry, DFT PBE
# - Magnetic moment: 0.000 μB/atom
# - ρ: 8.6 g cm⁻³
# - Energy relative to the elements, uncorrected: 1.269 eV per atom
data_HfRh2PbI
_chemical_formula_sum 'Hf1 Rh2 Pb1 I1'
_symmetry_space_group_name_H-M 'P 4/m m m'
_symmetry_Int_Tables_number 123
_symmetry_space_group_name_Hall '-P 4 2'
_cell_length_a 5.034
_cell_length_b 5.034
_cell_length_c 5.444
_cell_angle_alpha 90.00
_cell_angle_beta 90.00
_cell_angle_gamma 90.00
loop_
_atom_site_label
_atom_site_fract_x
_atom_site_fract_y
_atom_site_fract_z
Hf1 0.000 0.000 0.000
Rh1 0.000 0.500 0.500
Pb1 0.000 0.000 0.500
I1 0.500 0.500 0.000